# meta-GGA SCAN Ba2CrAg, single point on PBEsol structure
# Uncorrected energy, eV per atom: -32.04
# Energy relative to the elements, meV per atom: 173
# Theoretical density, g/cm³: 5.5
# Fermi-level density of states, states/eV per cell: 7.94
data_Ba2CrAg
_chemical_formula_sum 'Ba4 Cr2 Ag2'
_symmetry_space_group_name_H-M 'C m m m'
_symmetry_Int_Tables_number 65
_symmetry_space_group_name_Hall '-C 2 2'
_cell_length_a 8.0302
_cell_length_b 8.0421
_cell_length_c 4.0647
_cell_angle_alpha 90.00
_cell_angle_beta 90.00
_cell_angle_gamma 90.00
loop_
_atom_site_label
_atom_site_fract_x
_atom_site_fract_y
_atom_site_fract_z
Ba1 0.2500 0.2500 0.0000
Cr1 0.0000 0.0000 0.5000
Ag1 0.0000 0.5000 0.5000